# 1
The following is a DFT calculation (PBE-GGA) of a relaxed PrHo2Ir9 crystal. Values from VASP.

Cell and atoms, written as Quantum ESPRESSO input:
```
&SYSTEM
  ibrav = 0, nat = 12, ntyp = 3
/
ATOMIC_SPECIES
Pr 140.91 Pr.upf
Ho 164.93 Ho.upf
Ir 192.22 Ir.upf
ATOMIC_POSITIONS angstrom
Pr 0.000 0.000 0.000
Ho 0.000 0.000 3.665
Ho 0.000 0.000 22.578
Ir -1.335 -0.771 10.919
Ir 0.000 0.000 8.739
Ir 0.000 -1.542 15.324
Ir -1.335 0.771 15.324
Ir 0.000 0.000 13.122
Ir 1.335 -0.771 10.919
Ir 0.000 1.542 10.919
Ir 0.000 0.000 17.504
Ir 1.335 0.771 15.324
CELL_PARAMETERS angstrom
2.671 1.542 8.748
-2.671 1.542 8.748
0.000 -3.084 8.748
```

## Properties
Energy of formation   -0.573 eV per atom
SG   R-3m

# 2
The following is a DFT calculation (PBE-GGA) of a relaxed AcPr14Cd crystal. Values from VASP.

Cell and atoms, written as Quantum ESPRESSO input:
```
&SYSTEM
  ibrav = 0, nat = 16, ntyp = 3
/
ATOMIC_SPECIES
Ac 227.00 Ac.upf
Pr 140.91 Pr.upf
Cd 112.41 Cd.upf
ATOMIC_POSITIONS angstrom
Ac 0.000 0.000 0.000
Pr 0.000 -2.588 7.801
Pr 0.000 2.588 7.801
Pr 2.581 0.000 2.660
Pr 2.595 -2.547 5.206
Pr 2.595 2.547 5.206
Pr 2.607 0.000 7.754
Pr 5.241 0.000 0.008
Pr 5.241 -2.595 2.605
Pr 5.241 2.595 2.605
Pr 5.241 0.000 5.201
Pr 7.875 0.000 7.754
Pr 7.888 -2.547 5.206
Pr 7.888 2.547 5.206
Pr 7.902 0.000 2.660
Cd 0.000 0.000 5.207
CELL_PARAMETERS angstrom
10.483 0.000 0.000
0.000 5.203 5.203
0.000 -5.203 5.203
```

## Properties
Energy of formation   -0.014 eV per atom
SG   Amm2

# 3
The following is a DFT calculation (PBE-GGA) of a relaxed ZnGePd2 crystal. Values from VASP.

Cell and atoms, written as Quantum ESPRESSO input:
```
&SYSTEM
  ibrav = 0, nat = 4, ntyp = 3
/
ATOMIC_SPECIES
Zn 65.41 Zn.upf
Ge 72.64 Ge.upf
Pd 106.42 Pd.upf
ATOMIC_POSITIONS angstrom
Zn 0.000 0.000 0.000
Ge 0.000 0.000 3.110
Pd 1.561 1.561 1.552
Pd 1.561 1.561 4.668
CELL_PARAMETERS angstrom
3.121 0.000 0.000
0.000 3.121 0.000
0.000 0.000 6.220
```

## Properties
Energy of formation   -0.411 eV per atom
SG   P4/mmm

# 4
The following is a DFT calculation (PBE-GGA) of a relaxed PmPr10Dy4 crystal. Values from VASP.

Cell and atoms, written as Quantum ESPRESSO input:
```
&SYSTEM
  ibrav = 0, nat = 15, ntyp = 3
/
ATOMIC_SPECIES
Pm 145.00 Pm.upf
Pr 140.91 Pr.upf
Dy 162.50 Dy.upf
ATOMIC_POSITIONS angstrom
Pm 0.000 0.000 0.000
Pr 7.476 3.719 -1.961
Pr 3.719 4.987 -1.961
Pr 6.232 0.000 1.970
Pr 2.512 1.245 1.980
Pr -1.245 2.512 1.980
Pr 7.476 3.719 1.961
Pr 3.719 4.987 1.961
Pr 0.000 6.232 1.970
Pr 2.512 1.245 5.901
Pr -1.245 2.512 5.901
Dy 4.978 2.495 0.000
Dy 3.736 -1.253 3.941
Dy 2.495 7.485 0.000
Dy 1.253 3.736 3.941
CELL_PARAMETERS angstrom
-6.232 6.232 3.941
6.232 -6.232 3.941
6.232 6.232 -3.941
```

## Properties
Energy of formation   0.682 eV per atom
SG   I4/m

# 5
The following is a DFT calculation (PBE-GGA) of a relaxed InRe2Hg crystal. Values from VASP.

Cell and atoms, written as Quantum ESPRESSO input:
```
&SYSTEM
  ibrav = 0, nat = 4, ntyp = 3
/
ATOMIC_SPECIES
In 114.82 In.upf
Re 186.21 Re.upf
Hg 200.59 Hg.upf
ATOMIC_POSITIONS angstrom
In 0.000 0.000 0.000
Re 1.511 0.000 2.370
Re 1.511 0.000 7.309
Hg 0.000 0.000 4.839
CELL_PARAMETERS angstrom
1.511 -2.432 0.000
1.511 2.432 0.000
0.000 0.000 9.679
```

## Properties
Energy of formation   0.895 eV per atom
SG   Cmmm

# 6
The following is a DFT calculation (PBE-GGA) of a relaxed ScPt2Rh crystal. Values from VASP.

Cell and atoms, written as Quantum ESPRESSO input:
```
&SYSTEM
  ibrav = 0, nat = 4, ntyp = 3
/
ATOMIC_SPECIES
Sc 44.96 Sc.upf
Pt 195.08 Pt.upf
Rh 102.91 Rh.upf
ATOMIC_POSITIONS angstrom
Sc 0.000 0.000 0.000
Pt 1.609 0.000 3.431
Pt 6.803 0.000 1.171
Rh 4.206 0.000 2.301
CELL_PARAMETERS angstrom
4.696 -1.491 0.000
4.696 1.491 0.000
-0.981 0.000 4.602
```

## Properties
Energy of formation   -0.656 eV per atom
SG   C2/m

# 7
The following is a DFT calculation (PBE-GGA) of a relaxed Tl2HgSb crystal. Values from VASP.

Cell and atoms, written as Quantum ESPRESSO input:
```
&SYSTEM
  ibrav = 0, nat = 8, ntyp = 3
/
ATOMIC_SPECIES
Tl 204.38 Tl.upf
Hg 200.59 Hg.upf
Sb 121.76 Sb.upf
ATOMIC_POSITIONS angstrom
Tl 0.022 1.302 3.185
Tl -1.116 1.302 6.715
Tl 4.628 3.907 0.692
Tl 3.490 3.907 4.222
Hg 1.255 3.907 1.432
Hg 2.257 1.302 5.974
Sb 0.241 3.907 5.205
Sb 3.270 1.302 2.202
CELL_PARAMETERS angstrom
6.419 0.000 0.000
0.000 5.210 0.000
-2.908 0.000 7.407
```

## Properties
SG   P2_1/m
ΔE_f (raw)   0.002 eV per atom

# 8
The following is a DFT calculation (PBE-GGA) of a relaxed Sr2DyTl4 crystal. Values from VASP.

Cell and atoms, written as Quantum ESPRESSO input:
```
&SYSTEM
  ibrav = 0, nat = 7, ntyp = 3
/
ATOMIC_SPECIES
Sr 87.62 Sr.upf
Dy 162.50 Dy.upf
Tl 204.38 Tl.upf
ATOMIC_POSITIONS angstrom
Sr 0.000 0.000 3.816
Sr 0.000 0.000 11.710
Dy 0.000 0.000 7.763
Tl 2.739 0.000 1.622
Tl 2.739 0.000 6.141
Tl 0.000 2.739 1.622
Tl 0.000 2.739 6.141
CELL_PARAMETERS angstrom
-2.739 2.739 7.763
2.739 -2.739 7.763
2.739 2.739 -7.763
```

## Properties
Energy of formation   -0.270 eV per atom
SG   I4/mmm

# 9
The following is a DFT calculation (PBE-GGA) of a relaxed SmHo3Pb2 crystal. Values from VASP.

Cell and atoms, written as Quantum ESPRESSO input:
```
&SYSTEM
  ibrav = 0, nat = 12, ntyp = 3
/
ATOMIC_SPECIES
Sm 150.36 Sm.upf
Ho 164.93 Ho.upf
Pb 207.20 Pb.upf
ATOMIC_POSITIONS angstrom
Sm 0.000 0.000 0.000
Sm 0.000 0.000 3.734
Ho 3.742 4.230 -1.867
Ho 3.742 0.000 1.867
Ho 0.000 3.064 1.867
Ho 3.742 4.230 1.867
Ho 0.000 7.293 1.867
Ho 0.000 3.064 5.600
Pb 5.089 2.089 0.000
Pb 1.347 5.205 0.000
Pb 2.395 2.089 3.734
Pb -1.347 5.205 3.734
CELL_PARAMETERS angstrom
-3.742 7.293 3.734
3.742 -7.293 3.734
3.742 7.293 -3.734
```

## Properties
Energy of formation   -0.143 eV per atom
SG   Ibam

# 10
The following is a DFT calculation (PBE-GGA) of a relaxed Tb2Ho3S4 crystal. Values from VASP.

Cell and atoms, written as Quantum ESPRESSO input:
```
&SYSTEM
  ibrav = 0, nat = 9, ntyp = 3
/
ATOMIC_SPECIES
Tb 158.93 Tb.upf
Ho 164.93 Ho.upf
S 32.06 S.upf
ATOMIC_POSITIONS angstrom
Tb 0.000 2.227 3.271
Tb 1.929 1.113 12.611
Ho 0.000 0.000 0.000
Ho 0.000 2.227 9.367
Ho 1.929 1.113 6.515
S 0.000 0.000 4.890
S 0.000 0.000 10.992
S 0.000 2.227 14.281
S 1.929 1.113 1.601
CELL_PARAMETERS angstrom
3.857 0.000 0.000
-1.929 3.340 0.000
0.000 0.000 15.882
```

## Properties
SG   P-3m1
ΔE_f (raw)   -1.756 eV per atom

# 11
The following is a DFT calculation (PBE-GGA) of a relaxed Ca5Cu crystal. Values from VASP.

Cell and atoms, written as Quantum ESPRESSO input:
```
&SYSTEM
  ibrav = 0, nat = 6, ntyp = 2
/
ATOMIC_SPECIES
Ca 40.08 Ca.upf
Cu 63.55 Cu.upf
ATOMIC_POSITIONS angstrom
Ca 0.000 0.000 0.000
Ca 0.000 0.000 5.975
Ca 0.000 0.000 9.404
Ca 1.851 1.851 2.966
Ca 1.851 1.851 12.413
Cu 1.851 1.851 7.689
CELL_PARAMETERS angstrom
3.702 0.000 0.000
0.000 3.702 0.000
0.000 0.000 15.379
```

## Properties
Energy of formation   -0.010 eV per atom
SG   P4/mmm